This record from Alexandria describes PaIn2IrO8 after structural relaxation. The functional is GGA-PBE.

a b c (Å): 4.939 4.937 6.634
angles (deg): 90.00 90.00 91.18
Last column: magnetic moment on the atom in μB.
Atoms (fractional coordinates):
O: 0.188 0.811 0.769  0.07
Pa: 0.000 0.000 0.500  0.01
O: 0.188 0.811 0.231  0.07
O: 0.812 0.189 0.769  0.07
O: 0.306 0.306 0.500  0.02
Ir: 0.000 0.000 0.000  1.05
In: 0.500 0.500 0.759  0.01
In: 0.500 0.500 0.241  0.01
O: 0.717 0.718 0.000  0.20
O: 0.694 0.694 0.500  0.02
O: 0.283 0.282 0.000  0.20
O: 0.812 0.189 0.231  0.07

## Properties
Its space-group type is Cmmm (65). The spin magnetization comes out at 2.00 μB/f.u. Its uncorrected formation energy is -177.3 kJ/mol of atoms. The total energy comes out at -85.5 eV for the cell shown.